A plane-wave DFT calculation with PBEsol was carried out for crystalline Sr3ScTe at its relaxed geometry.

Output
- formation energy from raw total energies (eV/atom) = 0.42
- space group = Pm-3m (221)

Cell: 6.070 6.070 6.070 Å, 90.00 90.00 90.00°
Positions (direct):
Sr (0.000, 0.000, 0.500)
Sr (0.000, 0.500, 0.000)
Sr (0.500, 0.000, 0.000)
Sc (0.000, 0.000, 0.000)
Te (0.500, 0.500, 0.500)

A plane-wave DFT calculation with PBEsol was carried out for crystalline SrScTe at its relaxed geometry.

Output
- formation energy from raw total energies (eV/atom) = -0.60
- space group = P-6m2 (187)

Cell: 4.922 4.922 4.417 Å, 90.00 90.00 120.00°
Positions (direct):
Sr (0.000, 0.000, 0.000)
Sc (0.667, 0.333, 0.500)
Te (0.333, 0.667, 0.500)

A plane-wave DFT calculation with PBEsol was carried out for crystalline Sr2ScTi at its relaxed geometry.

Output
- space group = Fm-3m (225)
- energy relative to the elements (meV per atom) = 721

Cell: 7.982 7.982 7.982 Å, 90.00 90.00 90.00°
Positions (direct):
Sr (0.250, 0.250, 0.250)
Sr (0.250, 0.250, 0.750)
Sr (0.250, 0.750, 0.250)
Sr (0.250, 0.750, 0.750)
Sr (0.750, 0.250, 0.250)
Sr (0.750, 0.250, 0.750)
Sr (0.750, 0.750, 0.250)
Sr (0.750, 0.750, 0.750)
Sc (0.000, 0.000, 0.000)
Sc (0.000, 0.500, 0.500)
Sc (0.500, 0.000, 0.500)
Sc (0.500, 0.500, 0.000)
Ti (0.000, 0.000, 0.500)
Ti (0.000, 0.500, 0.000)
Ti (0.500, 0.000, 0.000)
Ti (0.500, 0.500, 0.500)

A plane-wave DFT calculation with PBEsol was carried out for crystalline SrSc2Tl at its relaxed geometry.

Output
- space group = Imm2 (44)
- ΔE to the lowest computed polymorph (meV/atom) = 0.0
- energy relative to the elements (meV per atom) = 21

Cell: 3.899 5.067 10.975 Å, 90.00 90.00 90.00°
Positions (direct):
Sr (0.000, 0.000, 0.000)
Sr (0.500, 0.500, 0.500)
Sc (0.000, 0.000, 0.447)
Sc (0.000, 0.500, 0.220)
Sc (0.500, 0.000, 0.720)
Sc (0.500, 0.500, 0.947)
Tl (0.000, 0.500, 0.744)
Tl (0.500, 0.000, 0.244)

A plane-wave DFT calculation with PBEsol was carried out for crystalline SrScTl2 at its relaxed geometry.

Output
- space group = P4mm (99)
- energy relative to the elements (meV per atom) = -61

Cell: 3.634 3.634 8.768 Å, 90.00 90.00 90.00°
Positions (direct):
Sr (0.000, 0.000, 0.000)
Sc (0.500, 0.500, 0.687)
Tl (0.000, 0.000, 0.496)
Tl (0.500, 0.500, 0.272)

A plane-wave DFT calculation with PBEsol was carried out for crystalline SrScTl2 at its relaxed geometry.

Output
- space group = P4/mmm (123)
- energy relative to the elements (meV per atom) = -389

Cell: 3.747 3.747 7.608 Å, 90.00 90.00 90.00°
Positions (direct):
Sr (0.000, 0.000, 0.000)
Sc (0.000, 0.000, 0.500)
Tl (0.500, 0.500, 0.287)
Tl (0.500, 0.500, 0.713)

A plane-wave DFT calculation with PBEsol was carried out for crystalline SrSc2Tl at its relaxed geometry.

Output
- space group = P2/m (10)
- ΔE to the lowest computed polymorph (meV/atom) = 2.9
- energy relative to the elements (meV per atom) = 24

Cell: 3.522 5.038 6.509 Å, 90.00 103.83 90.00°
Positions (direct):
Sr (0.000, 0.000, 0.000)
Sc (0.327, 0.500, 0.706)
Sc (0.673, 0.500, 0.294)
Tl (0.500, 0.000, 0.500)

A plane-wave DFT calculation with PBEsol was carried out for crystalline SrScW2 at its relaxed geometry.

Output
- space group = F-43m (216)
- ΔE to the lowest computed polymorph (meV/atom) = 285.0
- energy relative to the elements (meV per atom) = 959

Cell: 6.800 6.800 6.800 Å, 90.00 90.00 90.00°
Positions (direct):
Sr (0.000, 0.000, 0.000)
Sr (0.000, 0.500, 0.500)
Sr (0.500, 0.000, 0.500)
Sr (0.500, 0.500, 0.000)
Sc (0.250, 0.250, 0.750)
Sc (0.250, 0.750, 0.250)
Sc (0.750, 0.250, 0.250)
Sc (0.750, 0.750, 0.750)
W (0.000, 0.000, 0.500)
W (0.000, 0.500, 0.000)
W (0.250, 0.250, 0.250)
W (0.250, 0.750, 0.750)
W (0.500, 0.000, 0.000)
W (0.500, 0.500, 0.500)
W (0.750, 0.250, 0.750)
W (0.750, 0.750, 0.250)

A plane-wave DFT calculation with PBEsol was carried out for crystalline SrScW2 at its relaxed geometry.

Output
- space group = P4/mmm (123)
- ΔE to the lowest computed polymorph (meV/atom) = 242.7
- energy relative to the elements (meV per atom) = 916

Cell: 3.653 3.653 6.794 Å, 90.00 90.00 90.00°
Positions (direct):
Sr (0.000, 0.000, 0.000)
Sc (0.000, 0.000, 0.500)
W (0.500, 0.500, 0.328)
W (0.500, 0.500, 0.672)

A plane-wave DFT calculation with PBEsol was carried out for crystalline SrScW2 at its relaxed geometry.

Output
- space group = Imm2 (44)
- ΔE to the lowest computed polymorph (meV/atom) = 114.0
- energy relative to the elements (meV per atom) = 788

Cell: 3.418 5.102 10.156 Å, 90.00 90.00 90.00°
Positions (direct):
Sr (0.000, 0.000, 0.000)
Sr (0.500, 0.500, 0.500)
Sc (0.000, 0.500, 0.221)
Sc (0.500, 0.000, 0.721)
W (0.000, 0.000, 0.436)
W (0.000, 0.500, 0.766)
W (0.500, 0.000, 0.266)
W (0.500, 0.500, 0.936)

A plane-wave DFT calculation with PBEsol was carried out for crystalline Sr2ScW2 at its relaxed geometry.

Output
- space group = I4/mmm (139)
- energy relative to the elements (meV per atom) = 1379

Cell: 4.261 4.261 14.207 Å, 90.00 90.00 90.00°
Positions (direct):
Sr (0.000, 0.500, 0.250)
Sr (0.000, 0.500, 0.750)
Sr (0.500, 0.000, 0.250)
Sr (0.500, 0.000, 0.750)
Sc (0.000, 0.000, 0.000)
Sc (0.500, 0.500, 0.500)
W (0.000, 0.000, 0.422)
W (0.000, 0.000, 0.578)
W (0.500, 0.500, 0.078)
W (0.500, 0.500, 0.922)

A plane-wave DFT calculation with PBEsol was carried out for crystalline SrScW2 at its relaxed geometry.

Output
- space group = P2/m (10)
- ΔE to the lowest computed polymorph (meV/atom) = 140.9
- energy relative to the elements (meV per atom) = 815

Cell: 2.828 4.723 6.669 Å, 90.00 97.55 90.00°
Positions (direct):
Sr (0.000, 0.000, 0.000)
Sc (0.000, 0.000, 0.500)
W (0.349, 0.500, 0.323)
W (0.651, 0.500, 0.677)

A plane-wave DFT calculation with PBEsol was carried out for crystalline SrScW2 at its relaxed geometry.

Output
- space group = Cmmm (65)
- ΔE to the lowest computed polymorph (meV/atom) = 315.3
- energy relative to the elements (meV per atom) = 989

Cell: 5.562 10.147 2.773 Å, 90.00 90.00 90.00°
Positions (direct):
Sr (0.000, 0.000, 0.000)
Sr (0.500, 0.500, 0.000)
Sc (0.000, 0.500, 0.000)
Sc (0.500, 0.000, 0.000)
W (0.250, 0.250, 0.500)
W (0.250, 0.750, 0.500)
W (0.750, 0.250, 0.500)
W (0.750, 0.750, 0.500)

A plane-wave DFT calculation with PBEsol was carried out for crystalline SrScW2 at its relaxed geometry.

Output
- space group = Cmm2 (35)
- ΔE to the lowest computed polymorph (meV/atom) = 0.0
- energy relative to the elements (meV per atom) = 674

Cell: 3.351 4.857 10.243 Å, 90.00 90.00 90.00°
Positions (direct):
Sr (0.000, 0.000, 0.000)
Sr (0.500, 0.500, 0.000)
Sc (0.000, 0.500, 0.322)
Sc (0.500, 0.000, 0.322)
W (0.000, 0.000, 0.543)
W (0.000, 0.500, 0.735)
W (0.500, 0.000, 0.735)
W (0.500, 0.500, 0.543)

Number 1: E -2.713 eV per atom, spin magnetization 4.3 μB per cell. Number 2: E -4.594 eV per atom, spin magnetization 0.0 μB per cell. Number 3: E -3.931 eV per atom, spin magnetization 10.8 μB per cell. Number 4: E -4.399 eV per atom, spin magnetization 0.0 μB per cell. Number 5: E -3.488 eV per atom, spin magnetization 0.0 μB per cell. Number 6: E -3.815 eV per atom, spin magnetization 0.0 μB per cell. Number 7: E -4.396 eV per atom, spin magnetization 0.0 μB per cell. Number 8: E -8.056 eV per atom, spin magnetization 0.0 μB per cell. Number 9: E -8.099 eV per atom, spin magnetization 0.0 μB per cell. Number 10: E -8.227 eV per atom, spin magnetization 0.0 μB per cell. Number 11: E -6.201 eV per atom, spin magnetization 0.0 μB per cell. Number 12: E -8.201 eV per atom, spin magnetization 0.0 μB per cell. Number 13: E -8.026 eV per atom, spin magnetization 0.3 μB per cell. Number 14: E -8.341 eV per atom, spin magnetization 0.0 μB per cell.